Entry 1:
VASP calculation (PBE) on an optimized crystal structure of LiOsBr2.

abc: 3.4460 3.4460 7.1492
angles: 90.00 90.00 90.00
Space group P4mm (No. 99)
Inequivalent atoms, fractional coordinates:
Li 0.0000 0.0000 0.0000 [1 per cell]
Os 0.5000 0.5000 0.2645 [1 per cell]
Br 0.0000 0.0000 0.3943 [1 per cell]
Br 0.5000 0.5000 0.8840 [1 per cell]

## Properties
Its total energy is -3.835 eV/atom. The value obtained for the energy above the most stable polymorph in this dataset is 0.202 eV/atom. The formation energy without anion corrections comes out at 0.29 eV/atom.

Entry 2:
VASP calculation (PBE) on an optimized crystal structure of Tb4Er6Zr.

abc: 8.6777 8.6777 8.8640
angles: 90.00 90.00 90.00
Space group P4/mnc (No. 128)
Inequivalent atoms, fractional coordinates:
Tb 0.1460 0.3540 0.2500 [8 per cell]
Er 0.0000 0.0000 0.1742 [4 per cell]
Er 0.1517 0.6543 0.5000 [8 per cell]
Zr 0.0000 0.0000 0.5000 [2 per cell]

## Properties
Its total energy is -4.803 eV/atom. The calculation puts the calculated formation energy at 0.147 eV per atom.

Entry 3:
VASP calculation (PBE) on an optimized crystal structure of MnZn3Fe.

abc: 4.8056 4.2628 6.8849
angles: 90.00 107.37 90.00
Space group P2_1/m (No. 11)
Inequivalent atoms, fractional coordinates:
Mn 0.2444 0.2500 0.2151 [2 per cell]
Zn 0.0706 0.2500 0.8022 [2 per cell]
Zn 0.3315 0.7500 0.9827 [2 per cell]
Zn 0.4555 0.2500 0.6044 [2 per cell]
Fe 0.1320 0.7500 0.5793 [2 per cell]

## Properties
Its total energy is -4.252 eV/atom. The value obtained for the energy above the most stable polymorph in this dataset is 0.000 eV/atom. The calculation puts the calculated formation energy at 0.039 eV per atom.

Entry 4:
VASP calculation (PBE) on an optimized crystal structure of LiAs2W.

abc: 6.2641 7.2420 3.0372
angles: 90.00 108.25 90.00
Space group C2/m (No. 12)
Inequivalent atoms, fractional coordinates:
Li 0.0000 0.0000 0.0000 [2 per cell]
As 0.2500 0.2500 0.5000 [4 per cell]
W 0.0000 0.5000 0.0000 [2 per cell]

## Properties
Its total energy is -5.889 eV/atom. The value obtained for the energy above the most stable polymorph in this dataset is 0.343 eV/atom. The calculation puts the calculated formation energy at 0.153 eV per atom.

Entry 5:
VASP calculation (PBE) on an optimized crystal structure of Ac3LuF.

abc: 5.5061 5.5061 5.5061
angles: 90.00 90.00 90.00
Space group Pm-3m (No. 221)
Inequivalent atoms, fractional coordinates:
Ac 0.0000 0.0000 0.5000 [3 per cell]
Lu 0.5000 0.5000 0.5000 [1 per cell]
F 0.0000 0.0000 0.0000 [1 per cell]

## Properties
Its total energy is -4.663 eV/atom. The formation energy without anion corrections comes out at -0.92 eV/atom.

Entry 6:
VASP calculation (PBE) on an optimized crystal structure of LiAc6Zn.

abc: 5.6219 5.6219 19.2866
angles: 90.00 90.00 90.00
Space group I4/mmm (No. 139)
Inequivalent atoms, fractional coordinates:
Li 0.0000 0.0000 0.0000 [2 per cell]
Ac 0.0000 0.0000 0.2497 [4 per cell]
Ac 0.0000 0.5000 0.1033 [8 per cell]
Zn 0.0000 0.0000 0.5000 [2 per cell]

## Properties
Its total energy is -3.520 eV/atom. The calculation puts the calculated formation energy at -0.040 eV per atom.

Entry 7:
VASP calculation (PBE) on an optimized crystal structure of Zn2ReSi.

abc: 5.0623 8.0464 2.8222
angles: 90.00 90.00 90.00
Space group Cmmm (No. 65)
Inequivalent atoms, fractional coordinates:
Zn 0.2500 0.2500 0.0000 [4 per cell]
Re 0.0000 0.0000 0.5000 [2 per cell]
Si 0.0000 0.5000 0.5000 [2 per cell]

## Properties
Its total energy is -4.857 eV/atom. The formation energy without anion corrections comes out at 0.25 eV/atom.

Entry 8:
VASP calculation (PBE) on an optimized crystal structure of AlTl2ReAu.

abc: 5.3483 5.3483 4.7843
angles: 90.00 90.00 90.00
Space group P4/mmm (No. 123)
Inequivalent atoms, fractional coordinates:
Al 0.0000 0.0000 0.0000 [1 per cell]
Tl 0.0000 0.5000 0.0000 [2 per cell]
Re 0.5000 0.5000 0.5000 [1 per cell]
Au 0.0000 0.0000 0.5000 [1 per cell]

## Properties
Its total energy is -3.486 eV/atom. The calculation puts the calculated formation energy at 1.354 eV per atom.